# 1
The following is a GGA-PBE calculation of a relaxed ReRh3Br crystal, from the Alexandria database.

The structure in POSCAR format:
```
ReRh3Br
1.0
4.7570 0.0000 0.0000
0.0000 4.7570 0.0000
0.0000 0.0000 4.7570
Re Rh Br
1 3 1
direct
0.0000 0.0000 0.0000
0.0000 0.0000 0.5000
0.0000 0.5000 0.0000
0.5000 0.0000 0.0000
0.5000 0.5000 0.5000
```

Values from the calculation:
Total moment in Bohr magnetons per cell: 0.000
Excess energy over the best structure of this formula in the dataset in kJ/mol of atoms: 0.0
Density in Mg/m³: 8.9
Raw formation energy in eV/atom: 1.259


# 2
The following is a GGA-PBE calculation of a relaxed TbPr4Nd10 crystal, from the Alexandria database.

The structure in POSCAR format:
```
TbPr4Nd10
1.0
-5.0176 5.0176 5.3375
5.0176 -5.0176 5.3375
5.0176 5.0176 -5.3375
Tb Pr Nd
1 4 10
direct
0.0000 0.0000 0.0000
0.0572 0.3271 0.3842
0.3271 0.9428 0.2699
0.6729 0.0572 0.7301
0.9428 0.6729 0.6158
0.1329 0.4550 0.9098
0.2230 0.1329 0.6779
0.2500 0.7500 0.5000
0.4550 0.5451 0.3221
0.4549 0.7770 0.9098
0.5451 0.2230 0.0902
0.5450 0.4549 0.6779
0.7500 0.2500 0.5000
0.7770 0.8671 0.3221
0.8671 0.5450 0.0902
```

Values from the calculation:
Total moment in Bohr magnetons per cell: 0.000
Formation energy from the elements in kJ per mole of atoms: 28.8
Density in Mg/m³: 6.7